1.
# CsPrPb2 (PBE, relaxed)
# Excess energy over the best structure of this formula in the dataset (meV/atom): 211
# Calculated formation energy (meV/atom): -127
# Electronic total energy (Ry per atom): -0.249
data_CsPrPb2
_symmetry_space_group_name_H-M 'R -3 m'
_symmetry_Int_Tables_number 166
_symmetry_space_group_name_Hall '-R 3 2"'
_cell_length_a 3.8994
_cell_length_b 3.8994
_cell_length_c 34.8064
_cell_angle_alpha 90.00
_cell_angle_beta 90.00
_cell_angle_gamma 120.00
loop_
_atom_site_label
_atom_site_type_symbol
_atom_site_fract_x
_atom_site_fract_y
_atom_site_fract_z
Cs1 Cs 0.0000 0.0000 0.0000
Pr1 Pr 0.0000 0.0000 0.5000
Pb1 Pb 0.0000 0.0000 0.2414



2.
# CsPr2PbS4 (PBE, relaxed)
# Formation energy from raw total energies (meV per atom): -1363.8
# Electronic total energy (Ry per atom): -0.382
data_CsPr2PbS4
_symmetry_space_group_name_H-M 'C m c m'
_symmetry_Int_Tables_number 63
_symmetry_space_group_name_Hall '-C 2c 2'
_cell_length_a 4.2522
_cell_length_b 14.5389
_cell_length_c 16.7450
_cell_angle_alpha 90.00
_cell_angle_beta 90.00
_cell_angle_gamma 90.00
loop_
_atom_site_label
_atom_site_type_symbol
_atom_site_fract_x
_atom_site_fract_y
_atom_site_fract_z
Cs1 Cs 0.0000 0.0996 0.2500
Pr1 Pr 0.0000 0.3714 0.0407
Pb1 Pb 0.0000 0.1909 0.7500
S1 S 0.0000 0.0000 0.0000
S2 S 0.0000 0.2562 0.5894
S3 S 0.0000 0.4225 0.2500



3.
# CsPrPbS3 (PBE, relaxed)
# Formation energy from raw total energies (meV per atom): -1336.5
# Electronic total energy (Ry per atom): -0.364
data_CsPrPbS3
_symmetry_space_group_name_H-M 'P 1 21/m 1'
_symmetry_Int_Tables_number 11
_symmetry_space_group_name_Hall '-P 2yb'
_cell_length_a 8.8435
_cell_length_b 4.2300
_cell_length_c 12.5435
_cell_angle_alpha 90.00
_cell_angle_beta 108.44
_cell_angle_gamma 90.00
loop_
_atom_site_label
_atom_site_type_symbol
_atom_site_fract_x
_atom_site_fract_y
_atom_site_fract_z
Cs1 Cs 0.2116 0.2500 0.2326
Pr1 Pr 0.3612 0.7500 0.8598
Pb1 Pb 0.1707 0.2500 0.5838
S1 S 0.1235 0.2500 0.7843
S2 S 0.3736 0.7500 0.6294
S3 S 0.4081 0.7500 0.0930



4.
# Cs2PrPb2Se4 (PBE, relaxed)
# Formation energy from raw total energies (meV per atom): -1041.3
# Electronic total energy (Ry per atom): -0.304
data_Cs2PrPb2Se4
_symmetry_space_group_name_H-M 'C 1 2/m 1'
_symmetry_Int_Tables_number 12
_symmetry_space_group_name_Hall '-C 2y'
_cell_length_a 19.2638
_cell_length_b 4.4260
_cell_length_c 8.9877
_cell_angle_alpha 90.00
_cell_angle_beta 116.17
_cell_angle_gamma 90.00
loop_
_atom_site_label
_atom_site_type_symbol
_atom_site_fract_x
_atom_site_fract_y
_atom_site_fract_z
Cs1 Cs 0.1248 0.0000 0.0564
Pr1 Pr 0.0000 0.0000 0.5000
Pb1 Pb 0.1803 0.5000 0.5153
Se1 Se 0.0168 0.5000 0.2851
Se2 Se 0.1726 0.0000 0.7120



5.
# CsPr2Pb3Se6 (PBE, relaxed)
# Formation energy from raw total energies (meV per atom): -1071.1
# Electronic total energy (Ry per atom): -0.339
data_CsPr2Pb3Se6
_symmetry_space_group_name_H-M 'C 1 2/m 1'
_symmetry_Int_Tables_number 12
_symmetry_space_group_name_Hall '-C 2y'
_cell_length_a 19.1370
_cell_length_b 4.2972
_cell_length_c 9.6484
_cell_angle_alpha 90.00
_cell_angle_beta 99.27
_cell_angle_gamma 90.00
loop_
_atom_site_label
_atom_site_type_symbol
_atom_site_fract_x
_atom_site_fract_y
_atom_site_fract_z
Cs1 Cs 0.0000 0.0000 0.0000
Pr1 Pr 0.1697 0.5000 0.3380
Pb1 Pb 0.0000 0.0000 0.5000
Pb2 Pb 0.1626 0.5000 0.8248
Se1 Se 0.0174 0.5000 0.2861
Se2 Se 0.1675 0.0000 0.5627
Se3 Se 0.1862 0.0000 0.1267



6.
# Cs3Pr2Te6Pb (PBE, relaxed)
# Formation energy from raw total energies (meV per atom): -1109.8
# Electronic total energy (Ry per atom): -0.294
data_Cs3Pr2Te6Pb
_symmetry_space_group_name_H-M 'C 1 2/m 1'
_symmetry_Int_Tables_number 12
_symmetry_space_group_name_Hall '-C 2y'
_cell_length_a 8.1534
_cell_length_b 14.1271
_cell_length_c 9.4034
_cell_angle_alpha 90.00
_cell_angle_beta 106.77
_cell_angle_gamma 90.00
loop_
_atom_site_label
_atom_site_type_symbol
_atom_site_fract_x
_atom_site_fract_y
_atom_site_fract_z
Cs1 Cs 0.0000 0.0000 0.0000
Cs2 Cs 0.0000 0.3356 0.0000
Pr1 Pr 0.0000 0.1669 0.5000
Te1 Te 0.2246 0.0000 0.6965
Te2 Te 0.2364 0.3296 0.6974
Pb1 Pb 0.0000 0.5000 0.5000



Which value of electronic total energy does entry 2 give? -0.382 Ry per atom



Among the records above, which one has the highest electronic total energy? CsPrPb2



Look up the electronic total energy of the fifth one. -0.339 Ry per atom